Entry from Alexandria: an optimized crystal structure of CoSi2Cl (GGA-PBE).

Cell: 4.9305 4.9305 4.9817 Å, 90.00 90.00 90.00°
Sites, in units of the cell vectors:
Co (0.0000, 0.0000, 0.0000)
Co (0.5000, 0.5000, 0.5000)
Si (0.0000, 0.5000, 0.0000)
Si (0.0000, 0.5000, 0.5000)
Si (0.5000, 0.0000, 0.0000)
Si (0.5000, 0.0000, 0.5000)
Cl (0.0000, 0.0000, 0.5000)
Cl (0.5000, 0.5000, 0.0000)

Values from the calculation:
Energy above the most stable polymorph in this dataset = 359 meV per atom
SG = I4/mmm
Formation energy from raw total energies = 0.389 eV/atom

---

Entry from Alexandria: an optimized crystal structure of CoSi2Cl (GGA-PBE).

Cell: 2.7654 4.5782 4.6336 Å, 90.00 90.00 90.00°
Sites, in units of the cell vectors:
Co (0.0000, 0.0000, 0.0000)
Si (0.0000, 0.5000, 0.5000)
Si (0.5000, 0.0000, 0.5000)
Cl (0.5000, 0.5000, 0.0000)

Values from the calculation:
Energy above the most stable polymorph in this dataset = 534 meV per atom
SG = Pmmm
Formation energy from raw total energies = 0.564 eV/atom

---

Entry from Alexandria: an optimized crystal structure of CoSiCl2 (GGA-PBE).

Cell: 3.2409 3.2409 25.0050 Å, 90.00 90.00 120.00°
Sites, in units of the cell vectors:
Co (0.0000, 0.0000, 0.0000)
Co (0.3333, 0.6667, 0.6667)
Co (0.6667, 0.3333, 0.3333)
Si (0.0000, 0.0000, 0.5000)
Si (0.3333, 0.6667, 0.1667)
Si (0.6667, 0.3333, 0.8333)
Cl (0.0000, 0.0000, 0.2731)
Cl (0.0000, 0.0000, 0.7269)
Cl (0.3333, 0.6667, 0.3936)
Cl (0.3333, 0.6667, 0.9397)
Cl (0.6667, 0.3333, 0.0603)
Cl (0.6667, 0.3333, 0.6064)

Values from the calculation:
Energy above the most stable polymorph in this dataset = 427 meV per atom
SG = R-3m
Formation energy from raw total energies = 0.128 eV/atom

---

Entry from Alexandria: an optimized crystal structure of Co2Si2Cl (GGA-PBE).

Cell: 6.8219 6.8219 2.7448 Å, 90.00 90.00 90.00°
Sites, in units of the cell vectors:
Co (0.1438, 0.3562, 0.0000)
Co (0.3562, 0.8562, 0.0000)
Co (0.6438, 0.1438, 0.0000)
Co (0.8562, 0.6438, 0.0000)
Si (0.1427, 0.6427, 0.5000)
Si (0.3573, 0.1427, 0.5000)
Si (0.6427, 0.8573, 0.5000)
Si (0.8573, 0.3573, 0.5000)
Cl (0.0000, 0.0000, 0.0000)
Cl (0.5000, 0.5000, 0.0000)

Values from the calculation:
Energy above the most stable polymorph in this dataset = 13 meV per atom
SG = P4/mbm
Formation energy from raw total energies = -0.054 eV/atom

---

Entry from Alexandria: an optimized crystal structure of CoSiCl2 (GGA-PBE).

Cell: 5.0061 5.0061 5.8786 Å, 90.00 90.00 90.00°
Sites, in units of the cell vectors:
Co (0.0000, 0.0000, 0.0000)
Co (0.5000, 0.5000, 0.5000)
Si (0.0000, 0.0000, 0.5000)
Si (0.5000, 0.5000, 0.0000)
Cl (0.0000, 0.5000, 0.0000)
Cl (0.0000, 0.5000, 0.5000)
Cl (0.5000, 0.0000, 0.0000)
Cl (0.5000, 0.0000, 0.5000)

Values from the calculation:
Energy above the most stable polymorph in this dataset = 630 meV per atom
SG = I4/mmm
Formation energy from raw total energies = 0.331 eV/atom

---

Entry from Alexandria: an optimized crystal structure of CoSi2Cl (GGA-PBE).

Cell: 5.6787 5.6787 10.3433 Å, 90.00 90.00 90.00°
Sites, in units of the cell vectors:
Co (0.0000, 0.0000, 0.0000)
Co (0.0000, 0.5000, 0.2500)
Co (0.5000, 0.0000, 0.7500)
Co (0.5000, 0.5000, 0.5000)
Si (0.1632, 0.2500, 0.1250)
Si (0.2500, 0.6632, 0.3750)
Si (0.2500, 0.8368, 0.8750)
Si (0.3368, 0.2500, 0.6250)
Si (0.6632, 0.7500, 0.6250)
Si (0.7500, 0.1632, 0.8750)
Si (0.7500, 0.3368, 0.3750)
Si (0.8368, 0.7500, 0.1250)
Cl (0.0000, 0.0000, 0.5000)
Cl (0.0000, 0.5000, 0.7500)
Cl (0.5000, 0.0000, 0.2500)
Cl (0.5000, 0.5000, 0.0000)

Values from the calculation:
Energy above the most stable polymorph in this dataset = 205 meV per atom
SG = I-42d
Formation energy from raw total energies = 0.234 eV/atom

---

Entry from Alexandria: an optimized crystal structure of CoSi2Cl (GGA-PBE).

Cell: 3.3223 3.3223 20.0847 Å, 90.00 90.00 120.00°
Sites, in units of the cell vectors:
Co (0.0000, 0.0000, 0.0000)
Co (0.3333, 0.6667, 0.6667)
Co (0.6667, 0.3333, 0.3333)
Si (0.0000, 0.0000, 0.2727)
Si (0.0000, 0.0000, 0.7273)
Si (0.3333, 0.6667, 0.3939)
Si (0.3333, 0.6667, 0.9394)
Si (0.6667, 0.3333, 0.0606)
Si (0.6667, 0.3333, 0.6061)
Cl (0.0000, 0.0000, 0.5000)
Cl (0.3333, 0.6667, 0.1667)
Cl (0.6667, 0.3333, 0.8333)

Values from the calculation:
Energy above the most stable polymorph in this dataset = 0 meV per atom
SG = R-3m
Formation energy from raw total energies = 0.030 eV/atom

---

Entry from Alexandria: an optimized crystal structure of CoSi2Cl (GGA-PBE).

Cell: 4.7539 2.9415 4.9182 Å, 90.00 117.58 90.00°
Sites, in units of the cell vectors:
Co (0.0000, 0.0000, 0.0000)
Si (0.1677, 0.5000, 0.3907)
Si (0.4584, 0.0000, 0.9063)
Cl (0.7908, 0.5000, 0.5674)

Values from the calculation:
Energy above the most stable polymorph in this dataset = 64 meV per atom
SG = Pm
Formation energy from raw total energies = 0.094 eV/atom